Entry 1:
# PBE-GGA PuHBr4, optimized geometry
data_PuHBr4
_symmetry_space_group_name_H-M 'C 1 2/c 1'
_symmetry_Int_Tables_number 15
_symmetry_space_group_name_Hall '-C 2yc'
_cell_length_a 6.567
_cell_length_b 19.461
_cell_length_c 7.452
_cell_angle_alpha 90.00
_cell_angle_beta 93.44
_cell_angle_gamma 90.00
loop_
_atom_site_label
_atom_site_fract_x
_atom_site_fract_y
_atom_site_fract_z
Pu1 0.000 0.054 0.250
H1 0.000 0.347 0.750
Br1 0.226 0.342 0.876
Br2 0.235 0.051 0.585
# - Size of the total moment: 20.00 μB/cell
# - Calculated total energy: -5.14 eV per atom

=====

Entry 2:
# PBE-GGA PuHBr2, optimized geometry
data_PuHBr2
_symmetry_space_group_name_H-M 'C 1 m 1'
_symmetry_Int_Tables_number 8
_symmetry_space_group_name_Hall 'C -2y'
_cell_length_a 6.779
_cell_length_b 3.912
_cell_length_c 7.719
_cell_angle_alpha 90.00
_cell_angle_beta 106.23
_cell_angle_gamma 90.00
loop_
_atom_site_label
_atom_site_fract_x
_atom_site_fract_y
_atom_site_fract_z
Pu1 0.000 0.000 0.000
H1 0.333 0.000 0.000
Br1 0.084 0.500 0.738
Br2 0.250 0.500 0.262
# - Size of the total moment: 10.00 μB/cell
# - Calculated total energy: -6.46 eV per atom